Record 1
Compound: KZr2Cl
Source: Alexandria via LeMat-Bulk
Functional: PBE
Structure: relaxed

a b c (Å): 7.099 7.099 5.015
angles (deg): 69.31 69.31 25.39
Fractional positions:
1 Zr 0.458 0.458 0.542
2 K 0.250 0.250 0.250
3 Cl 0.750 0.750 0.750
4 Zr 0.042 0.042 0.958

Calculated total energy   -5.1622 eV per atom
Formation energy without anion corrections   -14.7 kJ/mol of atoms
Density of states at the Fermi level   2.256 states/eV/f.u.

Record 2
Compound: K2ZrCl5
Source: Alexandria via LeMat-Bulk
Functional: PBE
Structure: relaxed

a b c (Å): 7.865 7.680 7.807
angles (deg): 129.43 120.24 90.00
Each line ends with the local moment (μB).
Fractional positions:
1 Zr 0.972 0.960 0.944  0.64
2 Cl 0.813 0.259 0.111  0.01
3 Cl 0.741 0.817 0.481  0.00
4 Cl 0.792 0.753 0.007  0.00
5 Cl 0.215 0.753 0.007  0.00
6 K 0.719 0.207 0.438  0.01
7 K 0.228 0.768 0.456  0.00
8 Cl 0.298 0.259 0.111  0.01

Calculated total energy   -4.2354 eV per atom
Formation energy without anion corrections   -167.7 kJ/mol of atoms
Density of states at the Fermi level   0.013 states/eV/f.u.

Record 3
Compound: KZrCl4
Source: Alexandria via LeMat-Bulk
Functional: PBE
Structure: relaxed

a b c (Å): 6.000 6.000 6.000
angles (deg): 60.00 60.00 60.00
Each line ends with the local moment (μB).
Fractional positions:
1 Cl 0.877 0.374 0.374  -0.23
2 K 0.750 0.750 0.750  0.02
3 Cl 0.374 0.374 0.877  -0.23
4 Zr 0.000 0.000 0.000  1.41
5 Cl 0.374 0.877 0.374  -0.23
6 Cl 0.374 0.374 0.374  -0.23

Calculated total energy   -2.8811 eV per atom
Formation energy without anion corrections   -4.1 kJ/mol of atoms
Density of states at the Fermi level   9.168 states/eV/f.u.